No. 1
{
  "formula": "SrTlZn",
  "functional": "PBE",
  "state": "optimized geometry",
  "formation_enthalpy_0k_ev_per_atom": -0.182,
  "total_magnetization_mub_per_cell": 0.00,
  "dos_at_fermi_per_ev_atom": 0.2937,
  "total_energy_ev_per_cell": -11.7,
  "lattice_angstrom": [[3.7657, 0.0000, 0.0000], [0.0000, 3.7657, 0.0000], [0.0000, 0.0000, 11.9828]],
  "species": ["Sr", "Sr", "Tl", "Tl", "Zn", "Zn"],
  "fractional_positions": [[0.0000, 0.0000, 0.0000], [0.5000, 0.5000, 0.5000], [0.0000, 0.0000, 0.6987], [0.5000, 0.5000, 0.1987], [0.0000, 0.0000, 0.3308], [0.5000, 0.5000, 0.8308]]
}

***

No. 2
{
  "formula": "HfIr3Br",
  "functional": "PBE",
  "state": "optimized geometry",
  "e_above_lowest_polymorph_mev_per_atom": 400,
  "total_magnetization_mub_per_cell": 2.04,
  "dos_at_fermi_per_ev_atom": 1.8745,
  "total_energy_ev_per_cell": -29.5,
  "formation_energy_uncorrected_mev_per_atom": 1733,
  "lattice_angstrom": [[4.9307, 0.0000, 0.0000], [0.0000, 4.9307, 0.0000], [0.0000, 0.0000, 4.9307]],
  "species": ["Hf", "Ir", "Ir", "Ir", "Br"],
  "fractional_positions": [[0.0000, 0.0000, 0.0000], [0.0000, 0.0000, 0.5000], [0.0000, 0.5000, 0.0000], [0.5000, 0.0000, 0.0000], [0.5000, 0.5000, 0.5000]]
}

***

No. 3
{
  "formula": "Tc2PRuPb",
  "functional": "PBE",
  "state": "optimized geometry",
  "formation_enthalpy_0k_ev_per_atom": 1.607,
  "total_magnetization_mub_per_cell": 3.22,
  "dos_at_fermi_per_ev_atom": 1.1552,
  "total_energy_ev_per_cell": -31.1,
  "lattice_angstrom": [[4.7440, 0.0000, 0.0000], [0.0000, 4.7440, 0.0000], [0.0000, 0.0000, 5.0750]],
  "species": ["Tc", "Tc", "P", "Ru", "Pb"],
  "fractional_positions": [[0.0000, 0.5000, 0.0000], [0.5000, 0.0000, 0.0000], [0.0000, 0.0000, 0.5000], [0.5000, 0.5000, 0.0000], [0.5000, 0.5000, 0.5000]]
}